(1)
This record from the Alexandria database describes a geometry-optimized LiPmAs2 structure. The functional is PBE-GGA.

Summary:
electronic total energy	-4.689	eV per atom
energy above the lowest structure with this stoichiometry	0.309	eV per atom

Cell lengths 7.032, 7.032, 7.032 Å; angles 90.00, 90.00, 90.00 degrees
Space group Fm-3m (No. 225)
Asymmetric unit:
Li  0.000  0.000  0.000 (multiplicity 4)
Pm  0.000  0.000  0.500 (multiplicity 4)
As  0.250  0.250  0.250 (multiplicity 8)

(2)
This record from the Alexandria database describes a geometry-optimized LiPmAs2 structure. The functional is PBE-GGA.

Summary:
electronic total energy	-4.714	eV per atom
energy above the lowest structure with this stoichiometry	0.284	eV per atom

Cell lengths 3.712, 3.712, 6.021 Å; angles 90.00, 90.00, 90.00 degrees
Space group P4/mmm (No. 123)
Asymmetric unit:
Li  0.000  0.000  0.000 (multiplicity 1)
Pm  0.000  0.000  0.500 (multiplicity 1)
As  0.500  0.500  0.217 (multiplicity 2)

(3)
This record from the Alexandria database describes a geometry-optimized LiPmAs structure. The functional is PBE-GGA.

Summary:
electronic total energy	-4.402	eV per atom
energy above the lowest structure with this stoichiometry	0.399	eV per atom

Cell lengths 4.038, 4.038, 8.251 Å; angles 90.00, 90.00, 90.00 degrees
Space group I4mm (No. 107)
Asymmetric unit:
Li  0.000  0.000  0.000 (multiplicity 2)
Pm  0.000  0.000  0.341 (multiplicity 2)
As  0.000  0.000  0.696 (multiplicity 2)

(4)
This record from the Alexandria database describes a geometry-optimized LiPmAs structure. The functional is PBE-GGA.

Summary:
electronic total energy	-4.801	eV per atom
energy above the lowest structure with this stoichiometry	0.000	eV per atom

Cell lengths 4.182, 4.182, 7.193 Å; angles 90.00, 90.00, 90.00 degrees
Space group P4/nmm (No. 129, origin choice 2)
Asymmetric unit:
Li  0.250  0.750  0.000 (multiplicity 2)
Pm  0.250  0.250  0.343 (multiplicity 2)
As  0.250  0.250  0.768 (multiplicity 2)

- electronic total energy of number 3 (LiPmAs)?
  -4.402 eV per atom